1.
CsHOs3 | GGA-PBE | relaxed

a b c (Å): 4.1908 4.1908 4.1908
angles (deg): 90.00 90.00 90.00
Closest atoms and distances in Å follow each position.
Fractional positions:
Cs (0.0000, 0.0000, 0.0000)  12 Os 2.96
H (0.5000, 0.5000, 0.5000)  6 Os 2.10
Os (0.0000, 0.5000, 0.5000)  2 H 2.10
Os (0.5000, 0.0000, 0.5000)  2 H 2.10
Os (0.5000, 0.5000, 0.0000)  2 H 2.10

***

2.
CsHOs3 | GGA-PBE | relaxed

a b c (Å): 5.0654 5.0654 5.0654
angles (deg): 90.00 90.00 90.00
Closest atoms and distances in Å follow each position.
Fractional positions:
Cs (0.0000, 0.0000, 0.0000)  6 Os 2.53
H (0.5000, 0.5000, 0.5000)  12 Os 3.58
Os (0.0000, 0.0000, 0.5000)  2 Cs 2.53
Os (0.0000, 0.5000, 0.0000)  2 Cs 2.53
Os (0.5000, 0.0000, 0.0000)  2 Cs 2.53

***

1 comes first in stability; the runner-up is 2.441 eV/atom higher.

***

1.
CsPH4 | GGA-PBE | relaxed

a b c (Å): 5.0281 5.0281 7.1703
angles (deg): 90.00 90.00 90.00
Closest atoms and distances in Å follow each position.
Fractional positions:
Cs (0.2500, 0.7500, 0.2500)  12 H 2.95-2.97
Cs (0.7500, 0.2500, 0.7500)  12 H 2.95-2.97
P (0.2500, 0.7500, 0.7500)  4 H 1.51
P (0.7500, 0.2500, 0.2500)  4 H 1.51
H (0.0089, 0.7500, 0.6256)  1 P 1.51
H (0.2500, 0.5089, 0.8744)  1 P 1.51
H (0.2500, 0.9911, 0.8744)  1 P 1.51
H (0.4911, 0.7500, 0.6256)  1 P 1.51
H (0.5089, 0.2500, 0.3744)  1 P 1.51
H (0.7500, 0.0089, 0.1256)  1 P 1.51
H (0.7500, 0.4911, 0.1256)  1 P 1.51
H (0.9911, 0.2500, 0.3744)  1 P 1.51

***

2.
CsPH4 | GGA-PBE | relaxed

a b c (Å): 6.0895 6.0895 7.4363
angles (deg): 90.00 90.00 114.45
Closest atoms and distances in Å follow each position.
Fractional positions:
Cs (0.1799, 0.8201, 0.7500)  4 H 3.08-3.17
Cs (0.8201, 0.1799, 0.2500)  4 H 3.08-3.17
P (0.2003, 0.7997, 0.2500)  2 H 1.44
P (0.7997, 0.2003, 0.7500)  2 H 1.44
H (0.0539, 0.2600, 0.7500)  1 P 1.44
H (0.2600, 0.0539, 0.2500)  1 P 1.44
H (0.4680, 0.5320, 0.0255)  1 H 0.76
H (0.4680, 0.5320, 0.4745)  1 H 0.76
H (0.5320, 0.4680, 0.5255)  1 H 0.76
H (0.5320, 0.4680, 0.9745)  1 H 0.76
H (0.7400, 0.9461, 0.7500)  1 P 1.44
H (0.9461, 0.7400, 0.2500)  1 P 1.44

***

2 comes first in stability; the runner-up is 0.529 eV/atom higher.

***

1.
CsP2H | GGA-PBE | relaxed

a b c (Å): 6.1751 6.1751 6.1751
angles (deg): 120.44 120.44 89.25
Closest atoms and distances in Å follow each position.
Fractional positions:
Cs (0.3750, 0.6250, 0.7500)  12 P 3.60-3.64, 4 Cs 3.77, 4 H 3.77
Cs (0.6250, 0.3750, 0.2500)  12 P 3.60-3.64, 4 Cs 3.77, 4 H 3.77
P (0.0000, 0.0000, 0.0000)  2 H 1.89
P (0.0000, 0.0000, 0.5000)  2 H 1.89
P (0.0000, 0.5000, 0.0000)  2 H 1.89
P (0.5000, 0.0000, 0.5000)  2 H 1.89
H (0.1250, 0.8750, 0.2500)  4 P 1.89
H (0.8750, 0.1250, 0.7500)  4 P 1.89

***

2.
CsP2H | GGA-PBE | relaxed

a b c (Å): 5.1011 5.1011 5.1011
angles (deg): 60.00 60.00 60.00
Closest atoms and distances in Å follow each position.
Fractional positions:
Cs (0.0000, 0.0000, 0.0000)  8 P 3.12
P (0.2500, 0.2500, 0.2500)  4 H 3.12, 4 Cs 3.12
P (0.7500, 0.7500, 0.7500)  4 H 3.12, 4 Cs 3.12
H (0.5000, 0.5000, 0.5000)  8 P 3.12

***

1 comes first in stability; the runner-up is 1.127 eV/atom higher.

***

1.
CsPH3 | GGA-PBE | relaxed

a b c (Å): 6.9930 6.9930 6.9930
angles (deg): 39.91 39.91 39.91
Closest atoms and distances in Å follow each position.
Fractional positions:
Cs (0.0000, 0.0000, 0.0000)  3 H 3.27
P (0.8011, 0.8011, 0.8011)  3 H 1.46
H (0.5483, 0.9900, 0.9900)  1 P 1.46
H (0.9900, 0.5483, 0.9900)  1 P 1.46
H (0.9900, 0.9900, 0.5483)  1 P 1.46

***

2.
CsPH3 | GGA-PBE | relaxed

a b c (Å): 4.0103 4.0103 4.0103
angles (deg): 90.00 90.00 90.00
Closest atoms and distances in Å follow each position.
Fractional positions:
Cs (0.0000, 0.0000, 0.0000)  12 H 2.84
P (0.5000, 0.5000, 0.5000)  6 H 2.01
H (0.0000, 0.5000, 0.5000)  2 P 2.01
H (0.5000, 0.0000, 0.5000)  2 P 2.01
H (0.5000, 0.5000, 0.0000)  2 P 2.01

***

1 comes first in stability; the runner-up is 0.230 eV/atom higher.

***

1.
CsTePH | GGA-PBE | relaxed

a b c (Å): 5.6860 5.6860 6.9822
angles (deg): 122.27 122.27 48.70
Closest atoms and distances in Å follow each position.
Fractional positions:
Cs (0.0000, 0.0000, 0.0000)  1 H 3.12
Te (0.4878, 0.4878, 0.5197)  2 P 2.64
P (0.8507, 0.8507, 0.3457)  1 H 1.44
H (0.7646, 0.7646, 0.4493)  1 P 1.44

***

2.
CsTePH | GGA-PBE | relaxed

a b c (Å): 5.0323 5.2081 5.4765
angles (deg): 90.00 113.32 90.00
Closest atoms and distances in Å follow each position.
Fractional positions:
Cs (0.0000, 0.0000, 0.0000)  4 H 3.54-3.92, 2 P 3.76
Te (0.6846, 0.5000, 0.4052)  2 P 2.61
P (0.2431, 0.5000, 0.5405)  1 H 1.43
H (0.3689, 0.5000, 0.8254)  1 P 1.43

***

1 comes first in stability; the runner-up is 0.076 eV/atom higher.

***

1.
CsTePH | GGA-PBE | relaxed

a b c (Å): 6.0510 6.0510 6.1377
angles (deg): 104.76 104.76 40.48
Closest atoms and distances in Å follow each position.
Fractional positions:
Cs (0.0000, 0.0000, 0.0000)  2 H 3.04
Te (0.2552, 0.2552, 0.5675)  1 P 2.41
P (0.4411, 0.4411, 0.4492)  1 H 1.44
H (0.5336, 0.5336, 0.6634)  1 P 1.44

***

2.
CsTePH | GGA-PBE | relaxed

a b c (Å): 6.2984 6.2984 5.7954
angles (deg): 109.64 109.64 43.92
Closest atoms and distances in Å follow each position.
Fractional positions:
Cs (0.0000, 0.0000, 0.0000)  1 H 3.18
Te (0.6317, 0.6317, 0.5934)  2 P 2.66
P (0.2444, 0.2444, 0.6684)  1 H 1.43
H (0.2618, 0.2618, 0.4357)  1 P 1.43

***

3.
CsTePH | GGA-PBE | relaxed

a b c (Å): 5.9857 4.2369 5.9941
angles (deg): 90.00 112.11 90.00
Closest atoms and distances in Å follow each position.
Fractional positions:
Cs (0.0000, 0.0000, 0.0000)  2 H 3.39, 4 P 3.66-3.69
Te (0.6057, 0.5000, 0.3885)  1 H 1.73
P (0.4814, 0.5000, 0.9598)  1 Te 2.39
H (0.3391, 0.5000, 0.4391)  1 Te 1.73

***

2 comes first in stability; the runner-up is 0.097 eV/atom higher.